SiHSe: relaxed, PBE.

Values from the calculation:
total moment = 0.0 μB/cell
space-group type = Pm
energy = -3.94 eV per atom

a b c (Å): 2.7072 4.3434 4.8575
angles (deg): 90.00 105.73 90.00
Closest atoms and distances in Å follow each position.
Positions (direct):
Si1 0.4765 0.0000 0.5487  1 H 1.51
Se1 0.3654 0.5000 0.3200  2 Si 2.42, 2 Se 2.71
H1 0.6326 0.0000 0.8709  1 Si 1.51